! CaPr12Ho7, optimized geometry, DFT PBE; values from VASP
! E_form = 0.634 eV per atom
&SYSTEM
  ibrav = 0, nat = 20, ntyp = 3
/
ATOMIC_SPECIES
Pr 140.91 Pr.upf
Ho 164.93 Ho.upf
Ca 40.08 Ca.upf
ATOMIC_POSITIONS angstrom
Pr 5.041 3.968 2.973
Pr 3.567 2.382 -0.394
Pr -2.291 7.765 3.240
Pr -0.817 2.382 6.607
Pr -0.279 4.280 0.394
Pr 7.053 0.483 0.128
Pr 5.678 1.899 6.340
Pr 1.194 5.866 3.761
Pr -0.916 6.349 -2.973
Pr 1.654 1.899 3.495
Pr 3.108 6.349 -0.128
Pr 5.579 5.866 -3.240
Ho 4.762 0.000 3.367
Ho -2.381 4.124 3.367
Ho 4.762 0.000 -1.684
Ho -2.381 4.124 -1.684
Ho 2.381 4.124 1.684
Ho 0.000 0.000 5.051
Ho 2.381 4.124 -3.367
Ca 0.000 0.000 0.000
CELL_PARAMETERS angstrom
9.524 0.000 -3.367
-4.762 8.248 -3.367
0.000 0.000 10.102

***

! SO, optimized geometry, DFT PBE; values from VASP
! uncorrected formation energy = 1.109 eV/atom
&SYSTEM
  ibrav = 0, nat = 8, ntyp = 2
/
ATOMIC_SPECIES
O 16.00 O.upf
S 32.06 S.upf
ATOMIC_POSITIONS angstrom
O -1.368 -5.272 -0.653
O 1.874 -5.093 0.806
O -1.017 -4.593 2.823
O -0.073 -2.137 0.425
S 0.000 0.000 0.000
S -0.944 -2.456 2.398
S -1.295 -3.136 -1.079
S 1.947 -2.956 0.381
CELL_PARAMETERS angstrom
-4.185 -2.636 0.938
1.596 -3.636 -3.095
2.298 -2.276 3.858

***

! Cd3SbAu, optimized geometry, DFT PBE; values from VASP
! uncorrected formation energy = -0.023 eV/atom
&SYSTEM
  ibrav = 0, nat = 20, ntyp = 3
/
ATOMIC_SPECIES
Cd 112.41 Cd.upf
Au 196.97 Au.upf
Sb 121.76 Sb.upf
ATOMIC_POSITIONS angstrom
Cd 3.134 8.001 2.404
Cd 5.728 3.416 2.071
Cd 0.364 -0.065 6.120
Cd 5.373 5.878 6.424
Cd 3.318 1.642 2.916
Cd 3.489 1.292 6.090
Cd 2.419 4.870 3.278
Cd 2.590 4.520 6.453
Cd 2.774 -1.839 6.965
Cd 5.544 6.228 3.249
Cd 0.535 0.285 2.945
Cd 0.180 2.747 7.298
Au 4.237 -0.945 4.407
Au 1.670 7.108 4.962
Au 4.624 3.640 4.740
Au 1.284 2.522 4.629
Sb 3.996 5.630 0.700
Sb 1.042 5.118 9.002
Sb 1.912 0.533 8.669
Sb 4.866 1.045 0.367
CELL_PARAMETERS angstrom
5.908 0.000 0.000
0.000 9.171 0.666
0.000 -3.009 8.703

***

In the order shown, the computed total moment values come out to 0.00, 0.00, 0.00 μB per formula unit.